The following is a DFT calculation (meta-GGA SCAN) of a PBEsol-optimized structure of Cs2NaInBr6.

Properties
Volume, Å³/atom: 33.8
Energy relative to the elements, uncorrected, eV/f.u.: -15.8

Cell: 7.8216 7.8216 7.8216 Å, 60.00 60.00 60.00°
Closest atoms and distances in Å follow each position.
Sites, in units of the cell vectors:
Cs 0.7500 0.7500 0.7500  12 Br 3.91
Cs 0.2500 0.2500 0.2500  12 Br 3.91
Br 0.2588 0.2588 0.7412  1 In 2.67, 1 Na 2.86
Br 0.7412 0.7412 0.2588  1 In 2.67, 1 Na 2.86
Br 0.7412 0.2588 0.2588  1 In 2.67, 1 Na 2.86
Br 0.7412 0.2588 0.7412  1 In 2.67, 1 Na 2.86
Br 0.2588 0.7412 0.2588  1 In 2.67, 1 Na 2.86
Br 0.2588 0.7412 0.7412  1 In 2.67, 1 Na 2.86
In 0.5000 0.5000 0.5000  6 Br 2.67
Na 0.0000 0.0000 0.0000  6 Br 2.86

---

The following is a DFT calculation (meta-GGA SCAN) of a PBEsol-optimized structure of InAg3.

Properties
Volume, Å³/atom: 17.7
Formation energy, eV per atom: -0.01

Cell: 2.9342 4.7246 5.1150 Å, 90.00 90.00 90.00°
Closest atoms and distances in Å follow each position.
Sites, in units of the cell vectors:
In 0.0000 0.5000 0.3295  10 Ag 2.91-2.96, 2 In 2.93
Ag 0.5000 0.5000 0.8318  8 Ag 2.89-2.93, 4 In 2.94-2.96
Ag 0.5000 0.0000 0.5071  8 Ag 2.89-2.99, 4 In 2.93
Ag 0.0000 0.0000 0.9982  2 In 2.91, 10 Ag 2.91-2.99